Record 1
The following is a DFT calculation (PBE) of a relaxed structure of LiCa2HfAu6.

The space group is P-1 (No. 2) and the conventional cell measures 5.535, 6.198 and 6.997 Å, with angles of 73.31, 69.72 and 78.60 degrees. The inequivalent atoms are Li at (0.000, 0.000, 0.000), Ca at (0.478, 0.641, 0.705), Hf at (0.000, 0.000, 0.500), Au at (0.051, 0.336, 0.676), Au at (0.124, 0.307, 0.109) and Au at (0.472, 0.891, 0.225).

As for the total energy: -4.061 eV per atom.

=====

Record 2
The following is a DFT calculation (PBE) of a relaxed structure of Li2PaCdSe4.

The space group is P2/m (No. 10) and the conventional cell measures 6.926, 4.046 and 6.983 Å, with angles of 90.00, 109.74 and 90.00 degrees. The inequivalent atoms are Li at (0.000, 0.000, 0.000), Li at (0.500, 0.500, 0.000), Pa at (0.000, 0.500, 0.500), Cd at (0.500, 0.000, 0.500), Se at (0.246, 0.000, 0.764) and Se at (0.252, 0.500, 0.252).

As for the total energy: -4.625 eV per atom.